# La2Al3Cu7 SCAN single point on PBEsol structure
# DOS at the Fermi energy in states/eV/f.u.: 5.2
# E in eV/atom: -18.37
# Calculated volume in A^3/atom: 16.1
data_La2Al3Cu7
_chemical_formula_sum 'La2 Al3 Cu7'
_space_group_name_H-M_alt 'P 1'
_space_group_IT_number 1
_space_group_name_Hall 'P 1'
_cell_length_a 5.1901
_cell_length_b 4.1524
_cell_length_c 8.9517
_cell_angle_alpha 90.00
_cell_angle_beta 90.95
_cell_angle_gamma 90.00
loop_
_atom_site_label
_atom_site_type_symbol
_atom_site_fract_x
_atom_site_fract_y
_atom_site_fract_z
_atom_site_occupancy
La1 La 0.2450 0.0000 0.2522 1
La2 La 0.7550 0.0000 0.7478 1
Al1 Al 0.0000 0.5000 0.0000 1
Al2 Al 0.2632 0.5000 0.7436 1
Al3 Al 0.7368 0.5000 0.2564 1
Cu1 Cu 0.0000 0.5000 0.5000 1
Cu2 Cu 0.2506 0.0000 0.5805 1
Cu3 Cu 0.2593 0.0000 0.9168 1
Cu4 Cu 0.5000 0.5000 0.0000 1
Cu5 Cu 0.5000 0.5000 0.5000 1
Cu6 Cu 0.7407 0.0000 0.0832 1
Cu7 Cu 0.7494 0.0000 0.4195 1